A relaxed structure of BaLaCuRuO6, computed with GGA-PBEsol.

**Crystal system**: tetragonal
**Size of the total moment**: 0.2022 μB/atom
**Raw total energy**: -7.28 eV/atom
**ΔE_f (raw)**: -1.9297 eV/atom
**Space group**: I-4, No. 82

a b c (Å): 5.4012 5.7288 5.4012
angles (deg): 61.87 90.00 118.13
Last column: magnetic moment on the atom in μB.
Sites, in units of the cell vectors:
Cu1 0.7500 0.5000 0.7500  -0.24
Ru1 0.2500 0.5000 0.2500  1.51
Ba1 0.0000 0.0000 0.0000  0.01
La1 0.5000 0.0000 0.5000  0.03
O1 0.9254 0.4476 0.0791  0.07
O2 0.4734 0.5524 0.9254  0.07
O3 0.5222 0.4476 0.4734  0.07
O4 0.0791 0.5524 0.5222  0.07
O5 0.0195 0.0390 0.4805  0.11
O6 0.4805 0.9610 0.0195  0.11